Record 1
Crystalline Ce4SbI5 at its relaxed geometry, computed with PBE.

Calculated values
Space-group type: C2/m, No. 12
Energy relative to the elements, uncorrected (kcal/mol of atoms): -26.28

CIF file:
```
data_Ce4SbI5
_chemical_formula_sum 'Ce4 Sb1 I5'
_cell_length_a 4.3527
_cell_length_b 9.3217
_cell_length_c 9.9116
_cell_angle_alpha 100.41
_cell_angle_beta 102.68
_cell_angle_gamma 90.00
_space_group_name_H-M_alt 'P 1'
_space_group_IT_number 1
_space_group_name_Hall 'P 1'
loop_
_atom_site_label
_atom_site_type_symbol
_atom_site_fract_x
_atom_site_fract_y
_atom_site_fract_z
Ce1 Ce 0.6641 0.0647 0.3282
Ce2 Ce 0.0010 0.2329 0.0021
Ce3 Ce 0.3359 0.9353 0.6718
Ce4 Ce 0.9990 0.7671 0.9979
Sb1 Sb 0.5000 0.0000 0.0000
I1 I 0.1688 0.3247 0.3375
I2 I 0.1682 0.8066 0.3364
I3 I 0.8318 0.1934 0.6636
I4 I 0.5000 0.5000 0.0000
I5 I 0.8312 0.6753 0.6625
```

***

Record 2
Crystalline SiBH3 at its relaxed geometry, computed with PBE.

Calculated values
Electronic total energy (eV per atom): -3.4491
Space-group type: Pm-3m, No. 221

CIF file:
```
data_SiBH3
_chemical_formula_sum 'Si1 B1 H3'
_cell_length_a 3.1993
_cell_length_b 3.1993
_cell_length_c 3.1993
_cell_angle_alpha 90.00
_cell_angle_beta 90.00
_cell_angle_gamma 90.00
_space_group_name_H-M_alt 'P 1'
_space_group_IT_number 1
_space_group_name_Hall 'P 1'
loop_
_atom_site_label
_atom_site_type_symbol
_atom_site_fract_x
_atom_site_fract_y
_atom_site_fract_z
H1 H 0.0000 0.5000 0.0000
H2 H 0.0000 0.0000 0.5000
H3 H 0.5000 0.0000 0.0000
Si1 Si 0.5000 0.5000 0.5000
B1 B 0.0000 0.0000 0.0000
```